{"formula": "HfCdC2Br", "functional": "PBE-GGA", "state": "relaxed", "raw_formation_energy_kj_per_mol_atoms": 263.0, "mass_density_g_cm3": 7.167, "energy_ev_per_atom": -3.472, "cell": [[-4.187, 0.040, -0.442], [-0.088, -5.147, 0.363], [-0.439, 0.302, 4.177]], "species": ["C", "C", "Br", "Cd", "Hf"], "fractional_positions": [[0.000, 0.000, 0.500], [0.500, 0.000, 0.000], [0.000, 0.000, 0.000], [0.000, 0.500, 0.000], [0.500, 0.500, 0.500]]}

=====

{"formula": "CdIrCBr2", "functional": "PBE-GGA", "state": "relaxed", "raw_formation_energy_kj_per_mol_atoms": 156.4, "mass_density_g_cm3": 5.906, "energy_ev_per_atom": -2.848, "cell": [[4.979, 0.000, 0.000], [0.000, 5.405, 0.000], [0.000, 0.000, 4.979]], "species": ["Br", "Br", "Cd", "Ir", "C"], "fractional_positions": [[0.500, 0.000, 0.000], [0.000, 0.000, 0.500], [0.000, 0.500, 0.000], [0.000, 0.000, 0.000], [0.500, 0.500, 0.500]]}

=====

{"formula": "MgCdCBr2", "functional": "PBE-GGA", "state": "relaxed", "raw_formation_energy_kj_per_mol_atoms": 77.0, "mass_density_g_cm3": 3.707, "energy_ev_per_atom": -2.217, "cell": [[-3.545, -3.402, 2.897], [3.301, -1.645, 2.107], [-0.566, 4.010, 4.017]], "species": ["Br", "Br", "C", "Cd", "Mg"], "fractional_positions": [[0.500, 0.000, 0.000], [0.000, 0.000, 0.500], [0.000, 0.500, 0.000], [0.000, 0.000, 0.000], [0.500, 0.500, 0.500]]}

=====

{"formula": "MnCd2CBr", "functional": "PBE-GGA", "state": "relaxed", "raw_formation_energy_kj_per_mol_atoms": 220.7, "mass_density_g_cm3": 4.264, "energy_ev_per_atom": -2.092, "cell": [[-5.710, 0.288, 0.664], [0.241, -2.848, 3.305], [0.650, 4.356, 3.705]], "species": ["Cd", "Cd", "Mn", "Br", "C"], "fractional_positions": [[0.500, 0.000, 0.000], [0.000, 0.000, 0.500], [0.000, 0.500, 0.000], [0.000, 0.000, 0.000], [0.500, 0.500, 0.500]]}

=====

{"formula": "CdCBr3N", "functional": "PBE-GGA", "state": "relaxed", "raw_formation_energy_kj_per_mol_atoms": 13.1, "mass_density_g_cm3": 3.370, "energy_ev_per_atom": -3.778, "cell": [[1.140, 7.375, 3.142], [-6.742, -3.168, -3.173], [-1.915, -2.503, 6.569]], "species": ["N", "N", "Br", "Br", "Br", "Br", "Br", "Br", "C", "C", "Cd", "Cd"], "fractional_positions": [[0.430, 0.570, 0.434], [0.570, 0.430, 0.934], [0.372, 0.161, 0.437], [0.871, 0.129, 0.437], [0.161, 0.372, 0.937], [0.628, 0.839, 0.937], [0.129, 0.871, 0.937], [0.839, 0.628, 0.437], [0.512, 0.488, 0.435], [0.488, 0.512, 0.935], [0.000, 0.000, 0.188], [0.000, 0.000, 0.688]]}

=====

{"formula": "CdCBr2O", "functional": "PBE-GGA", "state": "relaxed", "raw_formation_energy_kj_per_mol_atoms": 125.6, "mass_density_g_cm3": 4.878, "energy_ev_per_atom": -2.387, "cell": [[4.832, 0.000, 0.000], [0.000, 4.378, 0.000], [0.000, 0.000, 4.832]], "species": ["O", "Br", "Br", "Cd", "C"], "fractional_positions": [[0.500, 0.500, 0.500], [0.500, 0.000, 0.000], [0.000, 0.000, 0.500], [0.000, 0.500, 0.000], [0.000, 0.000, 0.000]]}

=====

{"formula": "CdOsCBr2", "functional": "PBE-GGA", "state": "relaxed", "raw_formation_energy_kj_per_mol_atoms": 178.9, "mass_density_g_cm3": 5.885, "energy_ev_per_atom": -3.089, "cell": [[-3.913, -0.153, -2.969], [-1.034, -5.196, 1.630], [-2.829, 1.705, 3.640]], "species": ["Cd", "Os", "C", "Br", "Br"], "fractional_positions": [[0.000, 0.500, 0.000], [0.000, 0.000, 0.000], [0.500, 0.500, 0.500], [0.500, 0.000, 0.000], [0.000, 0.000, 0.500]]}

=====

{"formula": "RbCdC2Br", "functional": "PBE-GGA", "state": "relaxed", "raw_formation_energy_kj_per_mol_atoms": 152.1, "mass_density_g_cm3": 3.765, "energy_ev_per_atom": -2.824, "cell": [[-4.561, 0.020, 0.368], [0.048, -6.286, 0.937], [0.367, 0.675, 4.511]], "species": ["Rb", "C", "C", "Cd", "Br"], "fractional_positions": [[0.500, 0.500, 0.500], [0.000, 0.000, 0.500], [0.500, 0.000, 0.000], [0.000, 0.000, 0.000], [0.000, 0.500, 0.000]]}

=====

{"formula": "Rb2CdCBr6", "functional": "PBE-GGA", "state": "relaxed", "raw_formation_energy_kj_per_mol_atoms": -45.0, "mass_density_g_cm3": 4.292, "energy_ev_per_atom": -2.677, "cell": [[7.511, 0.000, 0.000], [0.000, 7.511, 0.000], [3.755, 3.755, 5.314]], "species": ["Br", "Br", "Br", "Br", "Br", "Br", "C", "Rb", "Rb", "Cd"], "fractional_positions": [[0.264, 0.264, 0.000], [0.736, 0.264, 0.000], [0.264, 0.736, 0.000], [0.736, 0.736, 0.000], [0.264, 0.264, 0.473], [0.736, 0.736, 0.527], [0.500, 0.500, 0.000], [0.750, 0.250, 0.500], [0.250, 0.750, 0.500], [0.000, 0.000, 0.000]]}

=====

{"formula": "Cd2SbCBr", "functional": "PBE-GGA", "state": "relaxed", "raw_formation_energy_kj_per_mol_atoms": 81.8, "mass_density_g_cm3": 6.356, "energy_ev_per_atom": -2.522, "cell": [[4.476, 0.000, 0.000], [0.000, 5.718, 0.000], [0.000, 0.000, 4.476]], "species": ["Br", "C", "Cd", "Cd", "Sb"], "fractional_positions": [[0.000, 0.500, 0.000], [0.000, 0.000, 0.000], [0.000, 0.000, 0.500], [0.500, 0.000, 0.000], [0.500, 0.500, 0.500]]}

=====

{"formula": "CdCSe2Br", "functional": "PBE-GGA", "state": "relaxed", "raw_formation_energy_kj_per_mol_atoms": 176.8, "mass_density_g_cm3": 4.092, "energy_ev_per_atom": -1.924, "cell": [[5.260, 0.000, 0.000], [0.000, 5.260, 0.000], [0.000, 0.000, 5.314]], "species": ["Br", "Cd", "Se", "Se", "C"], "fractional_positions": [[0.000, 0.000, 0.500], [0.000, 0.000, 0.000], [0.000, 0.500, 0.000], [0.500, 0.000, 0.000], [0.500, 0.500, 0.500]]}

=====

{"formula": "CdCSeBr2", "functional": "PBE-GGA", "state": "relaxed", "raw_formation_energy_kj_per_mol_atoms": 86.0, "mass_density_g_cm3": 5.746, "energy_ev_per_atom": -2.502, "cell": [[-0.436, -4.029, -2.658], [-1.632, -2.389, 3.888], [-4.188, 1.148, -1.052]], "species": ["Br", "Br", "C", "Se", "Cd"], "fractional_positions": [[0.000, 0.500, 0.000], [0.500, 0.000, 0.000], [0.000, 0.000, 0.000], [0.000, 0.000, 0.500], [0.500, 0.500, 0.500]]}

=====

Question: Number 3 is which compound?
Answer: MgCdCBr2